This record from Alexandria via LeMat-Bulk describes an optimized crystal structure of ReHS2. The functional is PBE-GGA.

Summary:
ΔE to the lowest computed polymorph: 484 meV per atom
total moment: 0.00 μB per formula unit
V: 15.0 Å³/atom

Cell lengths 4.9540, 4.9540, 9.8022 Å; angles 90.00, 90.00, 90.00 degrees
Space group I-42d (No. 122)
One atom of each set of equivalent atoms:
Re1 0.0000 0.0000 0.0000 (multiplicity 4)
H1 0.0000 0.0000 0.5000 (multiplicity 4)
S1 0.2129 0.2500 0.6250 (multiplicity 8)